Material: Zn2CrSe
Method: DFT, GGA-PBE
State: relaxed

Unit cell a=3.311 b=3.688 c=6.116 alpha=72.42 beta=90.00 gamma=90.00
Fractional positions:
Se1 0.500 0.552 0.774
Cr1 0.000 0.707 0.459
Zn1 0.500 0.306 0.261
Zn2 0.000 0.935 0.006

Results
symmetry	Pm
uncorrected formation energy	0.09	eV per atom

Material: KSrFe2
Method: DFT, GGA-PBE
State: relaxed

Unit cell a=8.584 b=8.584 c=6.726 alpha=50.35 beta=50.35 gamma=90.00
Fractional positions:
K1 0.500 0.500 0.000
K2 0.250 0.750 0.500
Fe1 0.625 0.125 0.250
Fe2 0.875 0.875 0.750
Fe3 0.375 0.375 0.750
Fe4 0.125 0.625 0.250
Sr1 0.750 0.250 0.500
Sr2 0.000 0.000 0.000

Results
energy of formation from the pure elements	1.31	eV/atom
symmetry	I-42d
distance to the lowest polymorph of the same formula	709	meV per atom

Material: Y3HgN
Method: DFT, GGA-PBE
State: relaxed

Unit cell a=3.995 b=3.995 c=18.348 alpha=90.00 beta=90.00 gamma=120.00
Fractional positions:
Hg1 0.000 0.000 0.000
Hg2 0.000 0.000 0.500
Y1 0.333 0.667 0.883
Y2 0.000 0.000 0.250
Y3 0.000 0.000 0.750
Y4 0.667 0.333 0.383
Y5 0.333 0.667 0.617
Y6 0.667 0.333 0.117
N1 0.333 0.667 0.750
N2 0.667 0.333 0.250

Results
symmetry	P6_3/mmc
uncorrected formation energy	-0.68	eV per atom

Material: LiSi2Ag8O8
Method: DFT, GGA-PBE
State: relaxed

Unit cell a=5.787 b=6.091 c=8.291 alpha=93.62 beta=90.00 gamma=90.00
Fractional positions:
Ag1 0.755 0.812 0.377
Ag2 0.758 0.654 0.697
Ag3 0.346 0.338 0.839
Ag4 0.239 0.150 0.157
Ag5 0.758 0.346 0.303
Ag6 0.239 0.850 0.843
Ag7 0.755 0.188 0.623
Ag8 0.346 0.662 0.161
O1 0.894 0.008 0.835
O2 0.573 0.773 0.975
O3 0.573 0.227 0.025
O4 0.414 0.276 0.450
O5 0.894 0.992 0.165
O6 0.414 0.724 0.550
O7 0.099 0.441 0.659
O8 0.099 0.559 0.341
Si1 0.733 0.000 0.000
Si2 0.259 0.500 0.500
Li1 0.303 0.000 0.500

Results
symmetry	P2
distance to the lowest polymorph of the same formula	65	meV per atom
uncorrected formation energy	-0.97	eV per atom

Material: Si2IrRu
Method: DFT, GGA-PBE
State: relaxed

Unit cell a=5.338 b=5.338 c=5.338 alpha=148.77 beta=135.61 gamma=55.27
Fractional positions:
Ir1 0.512 0.512 0.000
Si1 0.014 0.014 0.000
Si2 0.744 0.244 0.500
Ru1 0.230 0.730 0.500

Results
symmetry	Imm2
uncorrected formation energy	-0.37	eV per atom

Material: SmSnHg
Method: DFT, GGA-PBE
State: relaxed

Unit cell a=4.970 b=4.970 c=4.970 alpha=60.00 beta=60.00 gamma=60.00
Fractional positions:
Sm1 0.000 0.000 0.000
Sn1 0.500 0.500 0.500
Hg1 0.250 0.250 0.250

Results
energy of formation from the pure elements	-0.39	eV/atom
symmetry	F-43m

Question: What is the formula in the third record?
Answer: Y3HgN